Below is Hf2BeF after structural relaxation, with properties calculated at the PBE level.

abc: 6.2274 6.2274 6.2274
angles: 90.00 90.00 90.00
Last column: nearest neighbours and their distance in Å.
Space group Fm-3m (No. 225)
One atom of each set of equivalent atoms:
Hf (0.2500, 0.2500, 0.2500) [8 per cell]  4 F 2.70, 4 Be 2.70
Be (0.0000, 0.0000, 0.0000) [4 per cell]  8 Hf 2.70
F (0.0000, 0.0000, 0.5000) [4 per cell]  8 Hf 2.70

- Raw formation energy: -0.464 eV per atom
- Excess energy over the best structure of this formula in the dataset: 0.000 eV/atom